Li7Ni12O24: single point on PBEsol structure, SCAN.

Unit cell a=7.569 b=7.569 c=9.684 alpha=122.15 beta=122.15 gamma=68.31
Sites, in units of the cell vectors:
Li  0.000  0.000  0.000
Li  0.049  0.442  0.246
Li  0.228  0.320  0.771
Li  0.470  0.530  0.500
Li  0.558  0.951  0.754
Li  0.680  0.772  0.229
Li  0.814  0.186  0.500
Ni  0.016  0.734  0.128
Ni  0.097  0.150  0.375
Ni  0.178  0.572  0.621
Ni  0.266  0.984  0.872
Ni  0.349  0.399  0.127
Ni  0.428  0.822  0.379
Ni  0.515  0.236  0.622
Ni  0.601  0.651  0.873
Ni  0.681  0.070  0.123
Ni  0.764  0.485  0.378
Ni  0.850  0.903  0.625
Ni  0.930  0.319  0.877
O  0.028  0.096  0.707
O  0.086  0.805  0.791
O  0.119  0.493  0.958
O  0.153  0.225  0.046
O  0.195  0.914  0.209
O  0.254  0.615  0.296
O  0.261  0.348  0.446
O  0.333  0.064  0.550
O  0.385  0.746  0.704
O  0.410  0.468  0.783
O  0.443  0.169  0.953
O  0.507  0.881  0.042
O  0.532  0.590  0.217
O  0.588  0.300  0.297
O  0.627  0.006  0.461
O  0.652  0.739  0.554
O  0.700  0.412  0.703
O  0.765  0.123  0.801
O  0.775  0.847  0.954
O  0.831  0.557  0.047
O  0.877  0.235  0.199
O  0.904  0.972  0.293
O  0.936  0.667  0.450
O  0.994  0.373  0.539

## Properties
Formation energy without anion corrections in eV/atom: -1.429
E in eV/atom: -9.810
Theoretical density in g/cm³: 4.78

=====

Li4Ni5O10: single point on PBEsol structure, SCAN.

Unit cell a=4.999 b=5.723 c=6.343 alpha=104.14 beta=96.89 gamma=107.47
Sites, in units of the cell vectors:
Li  0.097  0.193  0.191
Li  0.305  0.615  0.614
Li  0.695  0.385  0.386
Li  0.903  0.807  0.809
Ni  0.105  0.702  0.201
Ni  0.297  0.097  0.602
Ni  0.500  0.500  0.000
Ni  0.703  0.903  0.398
Ni  0.895  0.298  0.799
O  0.015  0.764  0.490
O  0.174  0.625  0.908
O  0.187  0.173  0.880
O  0.381  0.035  0.320
O  0.403  0.575  0.287
O  0.597  0.425  0.713
O  0.619  0.965  0.680
O  0.813  0.827  0.120
O  0.826  0.375  0.092
O  0.985  0.236  0.510

## Properties
Formation energy without anion corrections in eV/atom: -1.546
E in eV/atom: -9.585
Theoretical density in g/cm³: 4.87
Energy above the lowest structure with this stoichiometry in meV/atom: 0

=====

LiNi2O3: single point on PBEsol structure, SCAN.

Unit cell a=5.003 b=5.003 c=9.499 alpha=94.98 beta=94.98 gamma=120.48
Sites, in units of the cell vectors:
Li  0.080  0.920  0.750
Li  0.255  0.745  0.250
Li  0.745  0.255  0.750
Li  0.920  0.080  0.250
Ni  0.000  0.500  0.500
Ni  0.170  0.336  0.002
Ni  0.336  0.170  0.502
Ni  0.412  0.588  0.750
Ni  0.500  0.000  0.000
Ni  0.588  0.412  0.250
Ni  0.664  0.830  0.498
Ni  0.830  0.664  0.998
O  0.031  0.214  0.608
O  0.160  0.641  0.886
O  0.214  0.031  0.108
O  0.323  0.459  0.370
O  0.359  0.840  0.614
O  0.459  0.323  0.870
O  0.541  0.677  0.130
O  0.641  0.160  0.386
O  0.677  0.541  0.630
O  0.786  0.969  0.892
O  0.840  0.359  0.114
O  0.969  0.786  0.392

## Properties
Formation energy without anion corrections in eV/atom: -1.515
E in eV/atom: -10.420
Theoretical density in g/cm³: 5.67

=====

Repeat the second record exactly.
Li4Ni5O10: single point on PBEsol structure, SCAN.

Unit cell a=4.999 b=5.723 c=6.343 alpha=104.14 beta=96.89 gamma=107.47
Sites, in units of the cell vectors:
Li  0.097  0.193  0.191
Li  0.305  0.615  0.614
Li  0.695  0.385  0.386
Li  0.903  0.807  0.809
Ni  0.105  0.702  0.201
Ni  0.297  0.097  0.602
Ni  0.500  0.500  0.000
Ni  0.703  0.903  0.398
Ni  0.895  0.298  0.799
O  0.015  0.764  0.490
O  0.174  0.625  0.908
O  0.187  0.173  0.880
O  0.381  0.035  0.320
O  0.403  0.575  0.287
O  0.597  0.425  0.713
O  0.619  0.965  0.680
O  0.813  0.827  0.120
O  0.826  0.375  0.092
O  0.985  0.236  0.510

## Properties
Formation energy without anion corrections in eV/atom: -1.546
E in eV/atom: -9.585
Theoretical density in g/cm³: 4.87
Energy above the lowest structure with this stoichiometry in meV/atom: 0

=====

> Among the records above, which one has the lowest theoretical density?

Li7Ni12O24

=====

> theoretical density of number 3 (LiNi2O3)?

5.67 g/cm³

=====

> Among the records above, which one has the lowest formation energy without anion corrections?

Li4Ni5O10